Material: PrHo3Sc7
Method: DFT, PBE
State: optimized geometry

```
11
Lattice="5.451 -0.206 -0.263 -2.402 7.548 1.121 -2.402 -0.742 7.594" Properties=species:S:1:pos:R:3 pbc="T T T"
Pr 0.323 3.300 4.226
Ho -2.402 5.819 2.471
Ho 2.725 -0.103 -0.132
Ho -2.402 0.986 6.245
Sc 0.135 1.364 1.747
Sc -2.221 6.830 5.509
Sc 2.868 2.911 0.491
Sc -2.221 3.689 7.961
Sc -2.402 3.403 4.358
Sc 2.868 -0.230 2.943
Sc 0.512 5.236 6.705
```

Values from the calculation:
SG: Immm (71)
Formation energy from the elements: 302 kJ/mol of formula units

Material: Pr6Ho2Sc
Method: DFT, PBE
State: optimized geometry

```
9
Lattice="5.134 0.000 0.000 -2.567 5.444 -1.683 0.000 -0.128 10.896" Properties=species:S:1:pos:R:3 pbc="T T T"
Pr 0.000 3.505 9.183
Pr 2.567 1.811 0.030
Pr 0.000 0.020 1.894
Pr 2.567 1.788 3.714
Pr 2.567 5.297 7.319
Pr 0.000 3.528 5.499
Ho 2.567 1.667 7.262
Ho 0.000 3.650 1.951
Sc 0.000 -0.064 5.448
```

Values from the calculation:
SG: C2/m (12)
Formation energy from the elements: 31 kJ/mol of formula units
Energy above the lowest structure with this stoichiometry: 0 kJ/mol of formula units

Material: Pr9Ho2Sc
Method: DFT, PBE
State: optimized geometry

```
12
Lattice="5.150 0.000 0.000 0.000 5.150 0.000 0.000 0.000 15.463" Properties=species:S:1:pos:R:3 pbc="T T T"
Pr 2.575 2.575 0.000
Pr 2.575 2.575 5.125
Pr 2.575 2.575 10.337
Pr 2.575 0.000 2.518
Pr 2.575 0.000 7.731
Pr 2.575 0.000 12.944
Pr 0.000 2.575 2.518
Pr 0.000 2.575 7.731
Pr 0.000 2.575 12.944
Ho 0.000 0.000 5.123
Ho 0.000 0.000 10.339
Sc 0.000 0.000 0.000
```

Values from the calculation:
SG: P4/mmm (123)
Formation energy from the elements: 27 kJ/mol of formula units

Material: Pr2Ho3Sc
Method: DFT, PBE
State: optimized geometry

```
12
Lattice="3.456 0.000 0.000 1.728 8.816 0.178 1.728 2.096 12.657" Properties=species:S:1:pos:R:3 pbc="T T T"
Pr 5.184 6.083 11.166
Pr 1.728 4.828 1.669
Pr 3.456 2.570 6.762
Pr 3.456 8.341 6.073
Ho 1.728 2.848 10.012
Ho 5.184 8.063 2.822
Ho 5.184 9.351 12.453
Ho 1.728 1.560 0.381
Ho 5.184 8.664 9.077
Ho 1.728 2.247 3.757
Sc 3.456 5.638 8.198
Sc 3.456 5.273 4.636
```

Values from the calculation:
SG: C2/m (12)
Formation energy from the elements: 88 kJ/mol of formula units
Energy above the lowest structure with this stoichiometry: 65 kJ/mol of formula units

Material: PrHo4Sc5
Method: DFT, PBE
State: optimized geometry

```
20
Lattice="-8.891 5.141 -5.751 0.276 -2.020 -5.914 -5.279 -5.570 2.641" Properties=species:S:1:pos:R:3 pbc="T T T"
Pr -7.728 2.420 -9.985
Pr -3.389 -3.093 -3.317
Ho -4.475 -6.191 -4.037
Ho -5.362 0.759 -8.225
Ho -9.491 -3.506 -2.682
Ho -10.424 2.447 -5.001
Ho -0.969 -1.101 -2.386
Ho -5.755 -1.432 -5.076
Ho -7.181 -0.717 -2.064
Ho -11.921 -0.052 -6.623
Sc -7.289 -4.563 -5.300
Sc -6.290 -4.050 -2.081
Sc -12.190 -2.287 -4.235
Sc -2.381 -1.283 -5.693
Sc -3.845 0.169 -2.803
Sc -8.735 0.610 -7.608
Sc -7.548 1.178 -4.584
Sc -4.482 -1.936 -0.511
Sc -10.383 -0.173 -2.664
Sc -9.107 -1.679 -5.360
```

Values from the calculation:
SG: P-1 (2)
Formation energy from the elements: 106 kJ/mol of formula units
Energy above the lowest structure with this stoichiometry: 0 kJ/mol of formula units

Material: Pr2Ho7Sc
Method: DFT, PBE
State: optimized geometry

```
10
Lattice="3.457 0.000 0.000 0.000 13.895 -4.739 0.000 -10.498 10.263" Properties=species:S:1:pos:R:3 pbc="T T T"
Pr 1.729 6.746 -0.342
Pr 1.729 -3.349 5.866
Ho 0.000 9.427 -1.991
Ho 0.000 -6.030 7.515
Ho 1.729 -1.496 2.770
Ho 1.729 4.893 2.754
Ho 1.729 3.147 -0.085
Ho 1.729 0.250 5.609
Ho 1.729 1.699 2.762
Sc 0.000 0.000 0.000
```

Values from the calculation:
SG: Cmmm (65)
Formation energy from the elements: 165 kJ/mol of formula units